# 1
## Sc2CdPd4 (GGA-PBE)

Data for a geometry-optimized Sc2CdPd4 structure.

Output
* ΔE_f: -0.59 eV/atom
* DOS(E_F): 4.43 states/eV/f.u.
* E above lowest polymorph: 75 meV per atom

Lattice parameters (Å, degrees): 4.5491 4.5491 21.7526 90.00 90.00 120.00
Space group R-3m (No. 166, hexagonal axes)
Inequivalent atoms, fractional coordinates:
Sc 0.0000 0.0000 0.2502 x6
Cd 0.0000 0.0000 0.5000 x3
Pd 0.0000 0.0000 0.1154 x6
Pd 0.0000 0.0000 0.3715 x6

# 2
## CrMo2Br (GGA-PBE)

Data for a geometry-optimized CrMo2Br structure.

Output
* DOS(E_F): 3.41 states/eV/f.u.
* E above lowest polymorph: 436 meV per atom
* formation energy from raw total energies: 0.93 eV/atom

Lattice parameters (Å, degrees): 5.1036 8.5681 2.9526 90.00 90.00 90.00
Space group Cmmm (No. 65)
Inequivalent atoms, fractional coordinates:
Cr 0.0000 0.0000 0.0000 x2
Mo 0.2500 0.2500 0.5000 x4
Br 0.0000 0.5000 0.0000 x2

# 3
## LiZn2Ru2 (GGA-PBE)

Data for a geometry-optimized LiZn2Ru2 structure.

Output
* ΔE_f: 0.39 eV/atom
* DOS(E_F): 4.44 states/eV/f.u.
* E above lowest polymorph: 241 meV per atom

Lattice parameters (Å, degrees): 4.6646 4.6646 7.9499 90.00 90.00 90.00
Space group I4/mmm (No. 139)
Inequivalent atoms, fractional coordinates:
Li 0.0000 0.0000 0.0000 x2
Zn 0.0000 0.5000 0.2500 x4
Ru 0.0000 0.0000 0.3568 x4

# 4
## Y2AlSi (GGA-PBE)

Data for a geometry-optimized Y2AlSi structure.

Output
* DOS(E_F): 2.26 states/eV/f.u.
* formation energy from raw total energies: -0.38 eV/atom

Lattice parameters (Å, degrees): 4.0870 4.0870 20.9395 90.00 90.00 120.00
Space group R3m (No. 160, hexagonal axes)
Inequivalent atoms, fractional coordinates:
Y 0.0000 0.0000 0.0000 x3
Y 0.0000 0.0000 0.1944 x3
Al 0.0000 0.0000 0.7711 x3
Si 0.0000 0.0000 0.4227 x3